(1)
# K3RbGe (PBEsol, relaxed)
data_K3RbGe
_symmetry_space_group_name_H-M 'P m -3 m'
_symmetry_Int_Tables_number 221
_symmetry_space_group_name_Hall '-P 4 2 3'
_cell_length_a 7.1713
_cell_length_b 7.1713
_cell_length_c 7.1713
_cell_angle_alpha 90.00
_cell_angle_beta 90.00
_cell_angle_gamma 90.00
loop_
_atom_site_label
_atom_site_fract_x
_atom_site_fract_y
_atom_site_fract_z
K1 0.0000 0.0000 0.5000
Rb1 0.0000 0.0000 0.0000
Ge1 0.5000 0.5000 0.5000
# Energy relative to the elements in eV/atom: 0.7912
# Magnetic moment in μB per formula unit: 2.0
# Uncorrected energy in eV/cell: -5.41

=====

(2)
# SrScRh2 (PBEsol, relaxed)
data_SrScRh2
_symmetry_space_group_name_H-M 'C 1 m 1'
_symmetry_Int_Tables_number 8
_symmetry_space_group_name_Hall 'C -2y'
_cell_length_a 10.3237
_cell_length_b 3.1223
_cell_length_c 5.0801
_cell_angle_alpha 90.00
_cell_angle_beta 103.51
_cell_angle_gamma 90.00
loop_
_atom_site_label
_atom_site_fract_x
_atom_site_fract_y
_atom_site_fract_z
Sr1 0.0000 0.0000 0.0000
Sc1 0.2944 0.5000 0.3947
Rh1 0.0158 0.5000 0.5053
Rh2 0.2314 0.0000 0.7493
# Offset from the most stable computed form in meV per atom: 290
# Energy relative to the elements in eV/atom: -0.1926
# Magnetic moment in μB per formula unit: 0.0
# Uncorrected energy in eV/cell: -50.99

=====

(3)
# LiMgRh2 (PBEsol, relaxed)
data_LiMgRh2
_symmetry_space_group_name_H-M 'P 1 2/m 1'
_symmetry_Int_Tables_number 10
_symmetry_space_group_name_Hall '-P 2y'
_cell_length_a 2.6971
_cell_length_b 4.0966
_cell_length_c 5.1168
_cell_angle_alpha 90.00
_cell_angle_beta 102.76
_cell_angle_gamma 90.00
loop_
_atom_site_label
_atom_site_fract_x
_atom_site_fract_y
_atom_site_fract_z
Li1 0.0000 0.0000 0.0000
Mg1 0.5000 0.0000 0.5000
Rh1 0.1652 0.5000 0.7718
# Energy relative to the elements in eV/atom: -0.1914
# Magnetic moment in μB per formula unit: 0.0
# Uncorrected energy in eV/cell: -20.73

=====

(4)
# CaZnIn (PBEsol, relaxed)
data_CaZnIn
_symmetry_space_group_name_H-M 'P -6 m 2'
_symmetry_Int_Tables_number 187
_symmetry_space_group_name_Hall 'P -6 2'
_cell_length_a 4.6930
_cell_length_b 4.6930
_cell_length_c 3.5950
_cell_angle_alpha 90.00
_cell_angle_beta 90.00
_cell_angle_gamma 120.00
loop_
_atom_site_label
_atom_site_fract_x
_atom_site_fract_y
_atom_site_fract_z
Ca1 0.0000 0.0000 0.0000
Zn1 0.6667 0.3333 0.5000
In1 0.3333 0.6667 0.5000
# Energy relative to the elements in eV/atom: -0.3885
# Magnetic moment in μB per formula unit: 0.0
# Uncorrected energy in eV/cell: -7.86